No. 1
Below is a geometry-optimized TaZn2Cu structure, with properties calculated at the GGA-PBE level.

Results
**SG**: F-43m (216)
**Crystal system**: cubic
**Energy of formation**: 0.18 eV/atom
**Final energy**: -4.348 eV/atom
**Energy relative to the lowest polymorph listed for this composition**: 0.000 eV per atom
**Mass density**: 10.66 Mg/m³

Lattice parameters (Å, degrees): 4.3563 4.3563 4.3563 60.00 60.00 60.00
Sites, in units of the cell vectors:
Ta  0.5000  0.5000  0.5000
Cu  0.2500  0.2500  0.2500
Zn  0.7500  0.7500  0.7500
Zn  0.0000  0.0000  0.0000

No. 2
Below is a geometry-optimized TaZn2Cu structure, with properties calculated at the GGA-PBE level.

Results
**SG**: Fm-3m (225)
**Crystal system**: cubic
**Energy of formation**: 0.22 eV/atom
**Final energy**: -4.307 eV/atom
**Energy relative to the lowest polymorph listed for this composition**: 0.041 eV per atom
**Mass density**: 10.68 Mg/m³

Lattice parameters (Å, degrees): 4.3536 4.3536 4.3536 60.00 60.00 60.00
Sites, in units of the cell vectors:
Ta  0.2500  0.2500  0.2500
Cu  0.7500  0.7500  0.7500
Zn  0.0000  0.0000  0.0000
Zn  0.5000  0.5000  0.5000

No. 3
Below is a geometry-optimized ZrTaZnCu structure, with properties calculated at the GGA-PBE level.

Results
**SG**: F-43m (216)
**Crystal system**: cubic
**Energy of formation**: 0.43 eV/atom
**Final energy**: -5.920 eV/atom
**Energy relative to the lowest polymorph listed for this composition**: 0.000 eV per atom
**Mass density**: 9.47 Mg/m³

Lattice parameters (Å, degrees): 4.6341 4.6341 4.6341 60.00 60.00 60.00
Sites, in units of the cell vectors:
Ta  0.2500  0.2500  0.2500
Cu  0.7500  0.7500  0.7500
Zn  0.0000  0.0000  0.0000
Zr  0.5000  0.5000  0.5000

No. 4
Below is a geometry-optimized Tb2Cu structure, with properties calculated at the GGA-PBE level.

Results
**SG**: Fd-3m (227)
**Crystal system**: cubic
**Energy of formation**: 0.74 eV/atom
**Final energy**: -3.584 eV/atom
**Mass density**: 7.81 Mg/m³

Lattice parameters (Å, degrees): 6.1200 6.1200 6.1200 60.00 60.00 60.00
Sites, in units of the cell vectors:
Tb  0.6250  0.6250  0.6250
Tb  0.6250  0.1250  0.6250
Tb  0.6250  0.6250  0.1250
Tb  0.1250  0.6250  0.6250
Cu  0.0000  0.0000  0.0000
Cu  0.2500  0.2500  0.2500

No. 5
Below is a geometry-optimized Tb2Cu structure, with properties calculated at the GGA-PBE level.

Results
**SG**: Fd-3m (227)
**Crystal system**: cubic
**Energy of formation**: 1.35 eV/atom
**Final energy**: -2.970 eV/atom
**Mass density**: 3.02 Mg/m³

Lattice parameters (Å, degrees): 8.4032 8.4032 8.4032 60.00 60.00 60.00
Sites, in units of the cell vectors:
Tb  0.3750  0.3750  0.8750
Tb  0.3750  0.3750  0.3750
Tb  0.8750  0.3750  0.3750
Tb  0.3750  0.8750  0.3750
Cu  0.5000  0.5000  0.5000
Cu  0.2500  0.2500  0.2500

No. 6
Below is a geometry-optimized Tb2Cu17 structure, with properties calculated at the GGA-PBE level.

Results
**SG**: R-3m (166)
**Crystal system**: trigonal
**Energy of formation**: -0.12 eV/atom
**Final energy**: -3.929 eV/atom
**Mass density**: 8.92 Mg/m³

Lattice parameters (Å, degrees): 6.4333 6.4333 6.4333 82.74 82.74 82.74
Sites, in units of the cell vectors:
Cu  0.8459  0.3460  0.3460
Cu  0.0000  0.2957  0.7043
Cu  0.2957  0.7043  0.0000
Cu  0.3460  0.3460  0.8459
Cu  0.2957  0.0000  0.7043
Cu  0.1541  0.6540  0.6540
Cu  0.3460  0.8459  0.3460
Cu  0.0981  0.0981  0.0981
Cu  0.7043  0.2957  0.0000
Cu  0.6540  0.1541  0.6540
Cu  0.0000  0.5000  0.0000
Cu  0.0000  0.7043  0.2957
Cu  0.5000  0.0000  0.0000
Cu  0.7043  0.0000  0.2957
Cu  0.0000  0.0000  0.5000
Cu  0.6540  0.6540  0.1541
Cu  0.9019  0.9019  0.9019
Tb  0.3411  0.3411  0.3411
Tb  0.6589  0.6589  0.6589